# CeZr6O14

A crystal of CeZr6O14 relaxed with PBEsol (SCAN, the Alexandria database). Values from VASP.

Cell and atoms, written as Quantum ESPRESSO input:
```
&SYSTEM
  ibrav = 0, nat = 42, ntyp = 3
/
ATOMIC_SPECIES
Ce 140.12 Ce.upf
Zr 91.22 Zr.upf
O 16.00 O.upf
CELL_PARAMETERS angstrom
-0.648 -0.950 -3.439
2.425 -4.530 0.795
-21.946 -10.510 7.039
ATOMIC_POSITIONS angstrom
Ce -6.902 -6.501 1.185
Ce -13.242 -9.538 3.219
Zr -6.189 -2.979 1.989
Zr -0.679 -5.995 1.784
Zr 2.413 -4.508 0.791
Zr -16.437 -13.542 6.839
Zr -15.745 -7.555 5.054
Zr -12.522 -6.013 4.021
Zr -9.411 -4.523 3.023
Zr -0.660 -3.469 -0.829
Zr -16.429 -11.027 4.231
Zr -10.085 -7.995 2.198
Zr -3.746 -4.953 0.163
Zr -19.521 -12.502 5.221
O -1.068 -1.629 0.651
O -4.144 -3.124 1.644
O -2.948 -5.386 2.043
O -19.926 -10.660 6.700
O -18.717 -12.919 7.096
O -16.831 -9.200 5.713
O -15.613 -11.451 6.106
O -13.622 -7.749 4.708
O -12.334 -10.149 5.128
O -10.479 -6.179 3.682
O 0.140 -3.888 1.048
O -9.272 -8.434 4.077
O -7.280 -4.712 2.674
O -5.998 -7.115 3.096
O -12.132 -7.735 2.512
O -10.883 -10.053 2.917
O -9.094 -6.280 1.537
O -5.789 -4.699 0.477
O -4.546 -7.021 0.885
O -2.690 -3.299 -0.493
O -1.479 -5.572 -0.093
O 0.394 -1.816 -1.484
O 1.610 -4.088 -1.085
O -18.464 -10.853 4.566
O -17.244 -13.122 4.963
O -15.437 -9.319 3.572
O -14.194 -11.642 3.979
O -7.859 -8.605 1.947
```

ΔE_f (raw): -3.746 eV/atom
Total magnetization: 0.00 μB per formula unit

***

# TbInPt4

A crystal of TbInPt4 relaxed with PBEsol (SCAN, the Alexandria database). Values from VASP.

Cell and atoms, written as Quantum ESPRESSO input:
```
&SYSTEM
  ibrav = 0, nat = 6, ntyp = 3
/
ATOMIC_SPECIES
Tb 158.93 Tb.upf
Pt 195.08 Pt.upf
In 114.82 In.upf
CELL_PARAMETERS angstrom
5.326 0.000 0.000
2.663 4.613 0.000
2.663 1.538 4.349
ATOMIC_POSITIONS angstrom
Tb 0.000 0.000 0.000
Pt 6.654 2.309 1.633
Pt 3.999 2.309 1.633
Pt 5.326 4.608 1.633
Pt 5.326 3.075 3.800
In 7.990 4.613 3.262
```

Formation enthalpy at 0 K: -21.24 kcal/mol of atoms
Total magnetization: 0.00 μB per formula unit

***

# CsZnPb3

A crystal of CsZnPb3 relaxed with PBEsol (SCAN, the Alexandria database). Values from VASP.

Cell and atoms, written as Quantum ESPRESSO input:
```
&SYSTEM
  ibrav = 0, nat = 5, ntyp = 3
/
ATOMIC_SPECIES
Pb 207.20 Pb.upf
Cs 132.91 Cs.upf
Zn 65.41 Zn.upf
CELL_PARAMETERS angstrom
6.210 0.000 0.000
0.000 6.210 0.000
0.000 0.000 6.210
ATOMIC_POSITIONS angstrom
Pb 0.000 3.105 0.000
Pb 0.000 0.000 3.105
Pb 3.105 0.000 0.000
Cs 0.000 0.000 0.000
Zn 3.105 3.105 3.105
```

Formation enthalpy at 0 K: 33.69 kcal/mol of atoms
Total magnetization: 0.00 μB per formula unit